## PaNiSn2 (PBE)

Data for a geometry-optimized PaNiSn2 structure.

Computed properties:
The value obtained for the energy is -23.82 eV per cell. As for the crystal system: tetragonal. As for the space group: P4/mmm (123). The value obtained for the density of states at the Fermi level is 1.387 states/eV/atom.

Cell: 4.4735 4.4203 4.4203 Å, 90.00 90.00 90.00°
Closest atoms and distances in Å follow each position.
Sites, in units of the cell vectors:
Ni (0.5000, 0.5000, 0.5000)  4 Pa 3.13, 8 Sn 3.14
Pa (0.5000, 0.0000, 0.0000)  4 Ni 3.13, 8 Sn 3.14
Sn (0.0000, 0.0000, 0.5000)  4 Sn 3.13, 4 Pa 3.14, 4 Ni 3.14
Sn (0.0000, 0.5000, 0.0000)  4 Sn 3.13, 4 Ni 3.14, 4 Pa 3.14